Computed, not measured: a relaxed structure of TbPr6Sm3Tm2 at the GGA-PBE level of DFT. Values from VASP.

Calculated values
- Space-group type: C2/m (12)
- Magnetic moment: 0.000 μB/f.u.
- Energy: -56.243 eV per cell

Cell and atoms, written as Quantum ESPRESSO input:
```
&SYSTEM
  ibrav = 0, nat = 12, ntyp = 4
/
ATOMIC_SPECIES
Tb 158.93 Tb.upf
Pr 140.91 Pr.upf
Sm 150.36 Sm.upf
Tm 168.93 Tm.upf
CELL_PARAMETERS angstrom
6.331 -0.002 0.011
-3.165 5.483 0.011
-1.074 -1.859 11.766
ATOMIC_POSITIONS crystal
Tb 0.000 0.000 0.000
Pr 0.917 0.583 0.753
Pr 0.749 0.749 0.247
Pr 0.083 0.417 0.247
Pr 0.583 0.917 0.753
Pr 0.251 0.251 0.753
Pr 0.417 0.083 0.247
Sm 0.167 0.833 0.500
Sm 0.833 0.167 0.500
Sm 0.500 0.500 0.500
Tm 0.333 0.667 0.000
Tm 0.667 0.333 0.000
```



Computed, not measured: a relaxed structure of SrAlCd2 at the GGA-PBE level of DFT. Values from VASP.

Calculated values
- Space-group type: R3m (160)
- Magnetic moment: 0.000 μB/f.u.
- Energy: -7.888 eV per cell

Cell and atoms, written as Quantum ESPRESSO input:
```
&SYSTEM
  ibrav = 0, nat = 4, ntyp = 3
/
ATOMIC_SPECIES
Sr 87.62 Sr.upf
Al 26.98 Al.upf
Cd 112.41 Cd.upf
CELL_PARAMETERS angstrom
4.724 -0.004 0.003
2.365 4.089 0.003
2.364 1.362 5.885
ATOMIC_POSITIONS crystal
Sr 0.507 0.507 0.478
Al 0.308 0.308 0.077
Cd 0.966 0.966 0.103
Cd 0.719 0.719 0.842
```



Computed, not measured: a relaxed structure of CeZn6Pd2 at the GGA-PBE level of DFT. Values from VASP.

Calculated values
- Space-group type: Immm (71)
- Magnetic moment: 0.745 μB/f.u.
- Energy: -26.281 eV per cell

Cell and atoms, written as Quantum ESPRESSO input:
```
&SYSTEM
  ibrav = 0, nat = 9, ntyp = 3
/
ATOMIC_SPECIES
Ce 140.12 Ce.upf
Zn 65.41 Zn.upf
Pd 106.42 Pd.upf
CELL_PARAMETERS angstrom
3.793 0.002 0.002
1.892 6.797 1.748
1.892 2.044 6.714
ATOMIC_POSITIONS crystal
Ce 0.000 0.000 0.000
Zn 0.313 0.994 0.381
Zn 0.687 0.006 0.619
Zn 0.687 0.619 0.006
Zn 0.500 0.328 0.672
Zn 0.500 0.672 0.328
Zn 0.313 0.381 0.994
Pd 0.125 0.376 0.376
Pd 0.875 0.624 0.624
```



Computed, not measured: a relaxed structure of PaIn2Hg at the GGA-PBE level of DFT. Values from VASP.

Calculated values
- Space-group type: P4/mmm (123)
- Magnetic moment: 0.886 μB/f.u.
- Distance to the lowest polymorph of the same formula: 164 meV/atom

Cell and atoms, written as Quantum ESPRESSO input:
```
&SYSTEM
  ibrav = 0, nat = 4, ntyp = 3
/
ATOMIC_SPECIES
Pa 231.04 Pa.upf
Hg 200.59 Hg.upf
In 114.82 In.upf
CELL_PARAMETERS angstrom
-3.443 0.101 -1.123
-1.073 -1.405 3.163
-0.733 7.051 2.884
ATOMIC_POSITIONS crystal
Pa 0.500 0.500 0.500
Hg 0.500 0.500 0.000
In 0.000 0.000 0.768
In 0.000 0.000 0.232
```



Computed, not measured: a relaxed structure of AlTcIO2 at the GGA-PBE level of DFT. Values from VASP.

Calculated values
- Space-group type: P4/mmm (123)
- Magnetic moment: 4.178 μB/f.u.
- Distance to the lowest polymorph of the same formula: 7 meV/atom
- Raw formation energy: -337 meV/atom

Cell and atoms, written as Quantum ESPRESSO input:
```
&SYSTEM
  ibrav = 0, nat = 5, ntyp = 4
/
ATOMIC_SPECIES
I 126.90 I.upf
Tc 98.00 Tc.upf
O 16.00 O.upf
Al 26.98 Al.upf
CELL_PARAMETERS angstrom
-1.297 -0.366 3.532
-2.080 -2.969 -1.071
4.556 -3.659 1.294
ATOMIC_POSITIONS crystal
I 0.000 0.000 0.500
Tc 0.500 0.500 0.500
O 0.000 0.500 0.000
O 0.500 0.000 0.000
Al 0.000 0.000 0.000
```



Computed, not measured: a relaxed structure of TcNiGeIr2 at the GGA-PBE level of DFT. Values from VASP.

Calculated values
- Space-group type: P4/mmm (123)
- Magnetic moment: 3.702 μB/f.u.
- Energy: -31.253 eV per cell

Cell and atoms, written as Quantum ESPRESSO input:
```
&SYSTEM
  ibrav = 0, nat = 5, ntyp = 4
/
ATOMIC_SPECIES
Ni 58.69 Ni.upf
Ge 72.64 Ge.upf
Ir 192.22 Ir.upf
Tc 98.00 Tc.upf
CELL_PARAMETERS angstrom
-3.113 -2.883 -1.532
3.272 -3.088 -0.837
-0.506 -1.665 4.162
ATOMIC_POSITIONS crystal
Ni 0.500 0.500 0.500
Ge 0.000 0.000 0.000
Ir 0.000 0.000 0.500
Ir 0.500 0.000 0.000
Tc 0.000 0.500 0.000
```



Computed, not measured: a relaxed structure of Ac2LaTbBi5 at the GGA-PBE level of DFT. Values from VASP.

Calculated values
- Space-group type: P4/mmm (123)
- Magnetic moment: 0.000 μB/f.u.
- Energy: -40.590 eV per cell

Cell and atoms, written as Quantum ESPRESSO input:
```
&SYSTEM
  ibrav = 0, nat = 9, ntyp = 4
/
ATOMIC_SPECIES
Ac 227.00 Ac.upf
La 138.91 La.upf
Tb 158.93 Tb.upf
Bi 208.98 Bi.upf
CELL_PARAMETERS angstrom
-2.092 -3.145 -3.998
-2.716 -2.964 3.753
-9.667 7.648 -0.956
ATOMIC_POSITIONS crystal
Ac 0.500 0.500 0.279
Ac 0.500 0.500 0.721
La 0.000 0.000 0.000
Tb 0.000 0.000 0.500
Bi 0.000 0.500 0.500
Bi 0.500 0.000 0.500
Bi 0.000 0.000 0.750
Bi 0.000 0.000 0.250
Bi 0.500 0.500 0.000
```



Computed, not measured: a relaxed structure of CaLaNd14 at the GGA-PBE level of DFT. Values from VASP.

Calculated values
- Space-group type: Amm2 (38)
- Magnetic moment: 0.000 μB/f.u.
- Energy: -73.048 eV per cell

Cell and atoms, written as Quantum ESPRESSO input:
```
&SYSTEM
  ibrav = 0, nat = 16, ntyp = 3
/
ATOMIC_SPECIES
Ca 40.08 Ca.upf
La 138.91 La.upf
Nd 144.24 Nd.upf
CELL_PARAMETERS angstrom
-6.600 -3.394 0.802
5.336 -3.142 -4.169
4.127 -5.752 9.618
ATOMIC_POSITIONS crystal
Ca 0.667 0.333 0.000
La 0.169 0.831 0.000
Nd 0.667 0.333 0.500
Nd 0.166 0.834 0.500
Nd 0.169 0.337 0.000
Nd 0.167 0.333 0.500
Nd 0.663 0.831 0.000
Nd 0.667 0.833 0.500
Nd 0.328 0.164 0.748
Nd 0.328 0.164 0.252
Nd 0.836 0.672 0.748
Nd 0.836 0.672 0.252
Nd 0.836 0.164 0.749
Nd 0.836 0.164 0.251
Nd 0.333 0.667 0.750
Nd 0.333 0.667 0.250
```